1.
SnP3Se9, relaxed, DFT PBE; energy = -0.292 Ry per atom
1.0
-8.009 0.219 -3.091
-7.319 -1.279 6.944
-4.556 9.386 0.539
P Se Sn
6 18 2
Direct
0.996 0.033 0.174 P
0.797 0.533 0.674 P
0.193 0.461 0.338 P
0.008 0.961 0.838 P
0.602 0.267 0.709 P
0.422 0.767 0.209 P
0.301 0.882 0.402 Se
0.299 0.905 0.038 Se
0.333 0.228 0.324 Se
0.710 0.735 0.069 Se
0.794 0.395 0.874 Se
0.114 0.728 0.824 Se
0.812 0.053 0.056 Se
0.486 0.235 0.569 Se
0.448 0.526 0.240 Se
0.415 0.382 0.902 Se
0.787 0.026 0.740 Se
0.579 0.750 0.720 Se
0.080 0.553 0.556 Se
0.950 0.250 0.220 Se
0.974 0.571 0.242 Se
0.212 0.071 0.742 Se
0.937 0.895 0.374 Se
0.758 0.405 0.538 Se
0.014 0.451 0.992 Sn
0.543 0.951 0.492 Sn

***

2.
SnPSe3, relaxed, DFT PBE; energy = -0.225 Ry per atom
1.0
-1.894 4.718 1.185
-2.298 0.253 -4.680
-4.287 -2.220 1.985
P Sn Se
1 1 3
Direct
0.500 0.500 0.500 P
0.000 0.000 0.000 Sn
0.000 0.500 0.000 Se
0.000 0.000 0.500 Se
0.500 0.000 0.000 Se

***

3.
Sn2P2Se, relaxed, DFT PBE; energy = -0.321 Ry per atom
1.0
-1.932 2.036 -2.431
-3.156 -0.961 1.703
-1.876 7.005 4.523
Sn Se P
2 1 2
Direct
0.608 0.608 0.785 Sn
0.392 0.392 0.215 Sn
0.000 0.000 0.000 Se
0.750 0.250 0.500 P
0.250 0.750 0.500 P

***

4.
SnPSe3, relaxed, DFT PBE; energy = -0.310 Ry per atom
1.0
-0.072 5.903 5.237
-2.922 -4.233 4.731
6.198 -6.901 7.865
Se Sn P
12 4 4
Direct
0.941 0.278 0.545 Se
0.255 0.369 0.736 Se
0.556 0.110 0.060 Se
0.455 0.705 0.971 Se
0.758 0.627 0.765 Se
0.056 0.898 0.449 Se
0.444 0.110 0.560 Se
0.745 0.369 0.236 Se
0.059 0.278 0.045 Se
0.944 0.898 0.949 Se
0.545 0.705 0.471 Se
0.242 0.627 0.265 Se
0.113 0.799 0.710 Sn
0.634 0.260 0.704 Sn
0.366 0.260 0.204 Sn
0.887 0.799 0.210 Sn
0.360 0.875 0.068 P
0.150 0.123 0.938 P
0.640 0.875 0.568 P
0.850 0.123 0.438 P

***

5.
Sn3PSe2, relaxed, DFT PBE; energy = -0.317 Ry per atom
1.0
4.028 0.000 -0.941
-0.220 4.022 -0.941
0.085 0.089 9.452
Se Sn P
2 3 1
Direct
0.333 0.333 0.667 Se
0.667 0.667 0.333 Se
0.155 0.155 0.309 Sn
0.845 0.845 0.691 Sn
0.500 0.500 0.000 Sn
0.000 0.000 0.000 P

***

6.
SnPSe3, relaxed, DFT PBE; energy = -0.281 Ry per atom
1.0
4.910 0.000 0.000
0.000 4.910 0.000
0.000 0.000 4.910
Se Sn P
3 1 1
Direct
0.000 0.000 0.500 Se
0.000 0.500 0.000 Se
0.500 0.000 0.000 Se
0.500 0.500 0.500 Sn
0.000 0.000 0.000 P

***

7.
Sn5PSe4, relaxed, DFT PBE; energy = -0.313 Ry per atom
1.0
4.151 0.000 -0.585
-0.082 4.150 -0.585
0.051 0.052 15.378
Sn Se P
5 4 1
Direct
0.500 0.500 0.000 Sn
0.908 0.908 0.817 Sn
0.299 0.299 0.598 Sn
0.701 0.701 0.402 Sn
0.092 0.092 0.183 Sn
0.201 0.201 0.401 Se
0.599 0.599 0.198 Se
0.401 0.401 0.802 Se
0.799 0.799 0.599 Se
0.000 0.000 0.000 P

***

8.
Tb6SnP2Se3, relaxed, DFT PBE; energy = -0.441 Ry per atom
1.0
-0.164 1.251 3.908
-7.831 -2.811 0.572
5.056 -7.739 0.532
P Tb Se Sn
2 6 3 1
Direct
0.832 0.663 0.663 P
0.168 0.337 0.337 P
0.670 0.103 0.341 Tb
0.673 0.572 0.345 Tb
0.330 0.897 0.659 Tb
0.006 0.261 0.012 Tb
0.994 0.739 0.988 Tb
0.327 0.428 0.655 Tb
0.165 0.832 0.330 Se
0.835 0.168 0.670 Se
0.500 0.500 0.000 Se
0.500 0.000 0.000 Sn

***

9.
Sn6TeP2Se3, relaxed, DFT PBE; energy = -0.312 Ry per atom
1.0
4.173 0.000 0.000
0.000 8.446 0.259
-2.086 -2.479 8.908
Se Sn Te P
3 6 1 2
Direct
0.500 0.500 0.000 Se
0.835 0.166 0.669 Se
0.165 0.834 0.331 Se
0.325 0.897 0.649 Sn
0.324 0.430 0.648 Sn
0.675 0.103 0.351 Sn
0.011 0.270 0.021 Sn
0.989 0.730 0.979 Sn
0.676 0.570 0.352 Sn
0.500 0.000 0.000 Te
0.169 0.336 0.337 P
0.831 0.664 0.663 P

***

10.
Th4SnPSe2, relaxed, DFT PBE; energy = -0.517 Ry per atom
1.0
4.295 0.000 0.000
0.000 7.482 0.135
0.000 -2.604 6.885
Th Se P Sn
4 2 1 1
Direct
0.000 0.772 0.252 Th
0.000 0.228 0.748 Th
0.500 0.227 0.238 Th
0.500 0.773 0.762 Th
0.500 0.000 0.500 Se
0.000 0.500 0.500 Se
0.000 0.000 0.000 P
0.500 0.500 0.000 Sn

***

11.
Th6SnP2Se3, relaxed, DFT PBE; energy = -0.528 Ry per atom
1.0
4.257 0.000 0.000
0.000 8.472 0.322
-2.128 -2.423 8.928
Sn Se Th P
1 3 6 2
Direct
0.500 0.000 0.000 Sn
0.839 0.167 0.679 Se
0.500 0.500 0.000 Se
0.161 0.833 0.321 Se
0.010 0.267 0.020 Th
0.670 0.572 0.341 Th
0.328 0.896 0.655 Th
0.672 0.104 0.345 Th
0.990 0.733 0.980 Th
0.330 0.428 0.659 Th
0.830 0.664 0.660 P
0.170 0.336 0.340 P

***

12.
TiSnP2Se, relaxed, DFT PBE; energy = -0.298 Ry per atom
1.0
-1.894 2.244 -3.943
-4.595 0.812 2.670
1.710 4.311 1.632
Sn P Se Ti
1 2 1 1
Direct
0.000 0.000 0.000 Sn
0.000 0.000 0.500 P
0.500 0.000 0.000 P
0.500 0.500 0.500 Se
0.000 0.500 0.000 Ti

***

Record-wise formation energy from raw total energies values, in eV per atom: -0.006, 0.915, 0.092, -0.250, -0.248, 0.152, -0.320, -1.585, -0.212, -1.273, -1.374, 1.185